1.
# LuTlHgSe3 (PBE, relaxed)
# DFT total energy, eV per atom: -3.748
data_LuTlHgSe3
_chemical_formula_sum 'Lu4 Tl4 Hg4 Se12'
_cell_length_a 8.320
_cell_length_b 4.413
_cell_length_c 16.986
_cell_angle_alpha 90.00
_cell_angle_beta 90.00
_cell_angle_gamma 90.00
_symmetry_space_group_name_H-M 'P n m a'
_symmetry_Int_Tables_number 62
_symmetry_space_group_name_Hall '-P 2ac 2n'
loop_
_atom_site_label
_atom_site_type_symbol
_atom_site_fract_x
_atom_site_fract_y
_atom_site_fract_z
_atom_site_occupancy
Lu1 Lu 0.232 0.250 0.037 1
Tl1 Tl 0.057 0.250 0.806 1
Hg1 Hg 0.085 0.250 0.341 1
Se1 Se 0.002 0.250 0.573 1
Se2 Se 0.123 0.750 0.950 1
Se3 Se 0.233 0.250 0.202 1



2.
# LuTlHgSe3 (PBE, relaxed)
# DFT total energy, eV per atom: -3.849
data_LuTlHgSe3
_chemical_formula_sum 'Lu4 Tl4 Hg4 Se12'
_cell_length_a 4.137
_cell_length_b 14.745
_cell_length_c 10.889
_cell_angle_alpha 90.00
_cell_angle_beta 90.00
_cell_angle_gamma 90.00
_symmetry_space_group_name_H-M 'C m c m'
_symmetry_Int_Tables_number 63
_symmetry_space_group_name_Hall '-C 2c 2'
loop_
_atom_site_label
_atom_site_type_symbol
_atom_site_fract_x
_atom_site_fract_y
_atom_site_fract_z
_atom_site_occupancy
Lu1 Lu 0.000 0.000 0.000 1
Tl1 Tl 0.000 0.249 0.250 1
Hg1 Hg 0.000 0.454 0.750 1
Se1 Se 0.000 0.074 0.750 1
Se2 Se 0.000 0.369 0.538 1